(1)
4
Lattice="5.3836 0.0008 0.0000 1.8487 5.0562 0.0000 -3.6162 -2.5285 3.0843" Properties=species:S:1:pos:R:3 comment="BaScFe2 PBE optimized geometry" polymorph_energy_mev_per_atom=586 formation_energy_ev_per_fu=3.288 pbc="T T T"
Ba 2.6918 0.0004 1.5422
Fe 0.0000 0.0000 0.0000
Sc 3.6162 2.5285 0.0000
Fe 0.9244 2.5281 1.5422


(2)
8
Lattice="-1.9876 2.0766 -6.3051 -1.4571 -6.5577 -1.7005 -4.4961 -1.8816 -3.0102" Properties=species:S:1:pos:R:3 comment="CaCo2W PBE optimized geometry" polymorph_energy_mev_per_atom=557 formation_energy_ev_per_fu=2.997 pbc="T T T"
Co -6.4683 -5.7015 -9.3584
Co -2.6604 0.1248 -5.2610
W -4.1030 -1.0227 -6.6591
Co -2.1712 -4.4263 -2.2483
W 0.0000 0.0000 0.0000
Co -4.5818 -2.7221 -5.1640
Ca -3.8378 -5.3399 -4.3567
Ca -1.7223 -2.2405 -4.0028


(3)
20
Lattice="6.4772 0.0000 0.0000 3.2386 10.2829 -2.5969 3.2386 -0.9797 10.5604" Properties=species:S:1:pos:R:3 comment="Nd5Y2Ho3 PBE optimized geometry" polymorph_energy_mev_per_atom=117 formation_energy_ev_per_fu=2.952 pbc="T T T"
Nd 8.0965 4.6516 3.9818
Ho 3.2386 0.5506 4.3134
Nd 6.4772 1.7401 9.0624
Y 9.7157 3.5987 6.9620
Nd 1.6193 2.3030 1.9714
Nd 4.8579 2.3030 1.9714
Ho 1.6193 0.0000 0.0000
Ho 9.7157 8.7526 3.6501
Y 6.4772 1.8694 5.4818
Y 3.2386 5.7045 1.0015
Ho 6.4772 4.9565 8.0849
Y 6.4772 7.4338 2.4818
Nd 8.0965 7.0002 5.9921
Ho 6.4772 4.3467 -0.1213
Nd 9.7157 9.2223 0.3214
Nd 4.8579 4.6516 3.9818
Ho 4.8579 0.0000 0.0000
Nd 3.2386 0.0809 7.6421
Nd 6.4772 7.5632 -1.0988
Nd 11.3350 7.0002 5.9921


(4)
4
Lattice="0.0000 3.0681 3.0681 3.0681 0.0000 3.0681 3.0681 3.0681 0.0000" Properties=species:S:1:pos:R:3 comment="ReNi2Br PBE optimized geometry" e_form_raw_ev_per_atom=1.17 polymorph_energy_mev_per_atom=770 pbc="T T T"
Br 0.0000 0.0000 0.0000
Ni 1.5340 1.5340 1.5340
Re 3.0681 3.0681 3.0681
Ni 4.6021 4.6021 4.6021


(5)
12
Lattice="-1.7463 4.4956 -0.4150 -3.6912 -0.9433 2.9827 4.2613 1.8347 6.4509" Properties=species:S:1:pos:R:3 comment="KNbSn2O8 PBE optimized geometry" e_form_raw_ev_per_atom=-1.60 pbc="T T T"
O -3.8276 2.4985 1.8086
O -0.5261 2.3188 5.1397
O -1.3374 3.8118 1.4019
O -0.6500 3.0682 3.8789
O -2.4565 0.5627 3.5112
Sn 0.7067 3.2005 6.5339
K 2.1307 0.9173 3.2254
O 1.2803 4.8244 5.5074
Nb 0.0000 0.0000 0.0000
O 0.1613 1.5753 7.6168
O 2.6514 2.8886 7.2101
Sn -1.8828 2.1866 2.4848


(6)
4
Lattice="-0.8784 -3.0667 -1.4596 -0.6930 -1.3141 3.1780 -6.8020 2.2179 -0.5662" Properties=species:S:1:pos:R:3 comment="LaZrSe2 PBE optimized geometry" e_form_raw_ev_per_atom=-1.37 polymorph_energy_mev_per_atom=147 pbc="T T T"
Se -3.2218 1.0505 -0.2682
Se -0.1792 0.0584 -0.0149
La -5.8872 -0.5270 0.4345
Zr -2.4862 -1.6359 0.7176


In order of appearance, N(E_F) = 4.62 2.42 28.90 4.44 0.00 1.95 states/eV per cell.
In order of appearance, calculated volume = 84.0 142.5 686.9 57.8 185.5 88.3 Å³ per cell.